Entry from Alexandria: a geometry-optimized V3Rh7 structure (GGA-PBE).

Output
The crystal system is monoclinic. As for the total energy: -8.251 eV per atom. As for the symmetry: C2/m, No. 12. Its formation energy is -0.370 eV per atom. The value obtained for the density of states at the Fermi level is 7.9 states/eV per cell.

Cell lengths 3.8313, 5.3768, 7.1680 Å; angles 102.58, 105.50, 90.00 degrees
With the nearest neighbours (Å) after each atom.
Element x y z (fractional)
Rh1 0.3953 0.6857 0.7905  5 V 2.65-2.74, 7 Rh 2.67-2.73
Rh2 0.0000 0.5000 0.0000  4 V 2.62-2.69, 8 Rh 2.69-2.72
Rh3 0.4018 0.1932 0.8036  4 V 2.65-2.69, 8 Rh 2.67-2.74
Rh4 0.7970 0.8811 0.5940  5 V 2.59-2.73, 7 Rh 2.68-2.78
Rh5 0.6047 0.3143 0.2095  5 V 2.65-2.74, 7 Rh 2.67-2.73
Rh6 0.2030 0.1189 0.4060  5 V 2.59-2.73, 7 Rh 2.68-2.78
Rh7 0.5982 0.8068 0.1964  4 V 2.65-2.69, 8 Rh 2.67-2.74
V1 0.8053 0.3790 0.6106  10 Rh 2.59-2.73
V2 0.0000 0.0000 0.0000  12 Rh 2.69-2.74
V3 0.1947 0.6210 0.3894  10 Rh 2.59-2.73